(1)
# Er4TaV7B24, optimized geometry, DFT GGA-PBEsol
data_Er4TaV7B24
_chemical_formula_sum 'Er4 Ta1 V7 B24'
_cell_length_a 9.561
_cell_length_b 3.029
_cell_length_c 12.782
_cell_angle_alpha 90.00
_cell_angle_beta 93.17
_cell_angle_gamma 90.00
_symmetry_space_group_name_H-M 'P 1 m 1'
_symmetry_Int_Tables_number 6
_symmetry_space_group_name_Hall 'P -2y'
loop_
_atom_site_label
_atom_site_fract_x
_atom_site_fract_y
_atom_site_fract_z
Er1 0.000 0.000 0.000
Er2 0.056 0.000 0.742
Er3 0.481 0.000 0.335
Er4 0.803 0.000 0.398
Ta1 0.334 0.500 0.626
V1 0.213 0.500 0.410
V2 0.300 0.500 0.905
V3 0.422 0.500 0.111
V4 0.605 0.500 0.941
V5 0.649 0.500 0.554
V6 0.748 0.500 0.141
V7 0.761 0.500 0.752
B1 0.043 0.000 0.320
B2 0.047 0.000 0.446
B3 0.078 0.000 0.188
B4 0.165 0.000 0.546
B5 0.211 0.000 0.284
B6 0.263 0.000 0.163
B7 0.276 0.000 0.034
B8 0.304 0.500 0.251
B9 0.331 0.000 0.766
B10 0.334 0.000 0.496
B11 0.441 0.000 0.993
B12 0.457 0.500 0.788
B13 0.458 0.000 0.863
B14 0.497 0.000 0.560
B15 0.589 0.000 0.082
B16 0.617 0.000 0.805
B17 0.627 0.000 0.668
B18 0.742 0.000 0.017
B19 0.766 0.000 0.886
B20 0.806 0.000 0.623
B21 0.893 0.500 0.605
B22 0.907 0.000 0.213
B23 0.972 0.500 0.154
B24 0.976 0.000 0.558
# Total magnetic moment ... 0.0 μB/f.u.
# Calculated volume ... 369.7 Å³/f.u.
# DFT total energy ... -7.70 eV per atom

***

(2)
# EuB12, optimized geometry, DFT GGA-PBEsol
data_EuB12
_chemical_formula_sum 'Eu4 B48'
_cell_length_a 7.502
_cell_length_b 7.502
_cell_length_c 7.502
_cell_angle_alpha 90.00
_cell_angle_beta 90.00
_cell_angle_gamma 90.00
_symmetry_space_group_name_H-M 'F m -3 m'
_symmetry_Int_Tables_number 225
_symmetry_space_group_name_Hall '-F 4 2 3'
loop_
_atom_site_label
_atom_site_fract_x
_atom_site_fract_y
_atom_site_fract_z
Eu1 0.000 0.000 0.000
B1 0.000 0.168 0.332
# Total magnetic moment ... 6.6 μB/f.u.
# Calculated volume ... 105.6 Å³/f.u.
# DFT total energy ... -7.49 eV per atom

***

(3)
# LaEuB12, optimized geometry, DFT GGA-PBEsol
data_LaEuB12
_chemical_formula_sum 'La4 Eu4 B48'
_cell_length_a 8.262
_cell_length_b 8.262
_cell_length_c 8.262
_cell_angle_alpha 90.00
_cell_angle_beta 90.00
_cell_angle_gamma 90.00
_symmetry_space_group_name_H-M 'F m -3 m'
_symmetry_Int_Tables_number 225
_symmetry_space_group_name_Hall '-F 4 2 3'
loop_
_atom_site_label
_atom_site_fract_x
_atom_site_fract_y
_atom_site_fract_z
La1 0.000 0.000 0.000
Eu1 0.000 0.000 0.500
B1 0.100 0.250 0.250
# Total magnetic moment ... 6.8 μB/f.u.
# Calculated volume ... 141.0 Å³/f.u.
# DFT total energy ... -7.69 eV per atom

***

(4)
# EuMgB5O10, optimized geometry, DFT GGA-PBEsol
data_EuMgB5O10
_chemical_formula_sum 'Eu4 Mg4 B20 O40'
_cell_length_a 8.666
_cell_length_b 7.598
_cell_length_c 12.471
_cell_angle_alpha 90.00
_cell_angle_beta 131.13
_cell_angle_gamma 90.00
_symmetry_space_group_name_H-M 'P 1 21/c 1'
_symmetry_Int_Tables_number 14
_symmetry_space_group_name_Hall '-P 2ybc'
loop_
_atom_site_label
_atom_site_fract_x
_atom_site_fract_y
_atom_site_fract_z
Eu1 0.049 0.187 0.237
Mg1 0.477 0.590 0.874
B1 0.092 0.672 0.607
B2 0.156 0.598 0.001
B3 0.273 0.031 0.052
B4 0.348 0.579 0.263
B5 0.480 0.188 0.913
O1 0.026 0.725 0.984
O2 0.087 0.104 0.915
O3 0.118 0.544 0.882
O4 0.206 0.716 0.236
O5 0.235 0.527 0.647
O6 0.317 0.085 0.808
O7 0.318 0.536 0.134
O8 0.323 0.629 0.508
O9 0.428 0.149 0.429
O10 0.446 0.152 0.128
# Total magnetic moment ... 6.0 μB/f.u.
# Calculated volume ... 154.6 Å³/f.u.
# Uncorrected formation energy ... -2.634 eV/atom
# DFT total energy ... -8.51 eV per atom

***

> The lowest total magnetic moment belongs to which entry?

Er4TaV7B24

***

Please write out number 1 again, unchanged.
# Er4TaV7B24, optimized geometry, DFT GGA-PBEsol
data_Er4TaV7B24
_chemical_formula_sum 'Er4 Ta1 V7 B24'
_cell_length_a 9.561
_cell_length_b 3.029
_cell_length_c 12.782
_cell_angle_alpha 90.00
_cell_angle_beta 93.17
_cell_angle_gamma 90.00
_symmetry_space_group_name_H-M 'P 1 m 1'
_symmetry_Int_Tables_number 6
_symmetry_space_group_name_Hall 'P -2y'
loop_
_atom_site_label
_atom_site_fract_x
_atom_site_fract_y
_atom_site_fract_z
Er1 0.000 0.000 0.000
Er2 0.056 0.000 0.742
Er3 0.481 0.000 0.335
Er4 0.803 0.000 0.398
Ta1 0.334 0.500 0.626
V1 0.213 0.500 0.410
V2 0.300 0.500 0.905
V3 0.422 0.500 0.111
V4 0.605 0.500 0.941
V5 0.649 0.500 0.554
V6 0.748 0.500 0.141
V7 0.761 0.500 0.752
B1 0.043 0.000 0.320
B2 0.047 0.000 0.446
B3 0.078 0.000 0.188
B4 0.165 0.000 0.546
B5 0.211 0.000 0.284
B6 0.263 0.000 0.163
B7 0.276 0.000 0.034
B8 0.304 0.500 0.251
B9 0.331 0.000 0.766
B10 0.334 0.000 0.496
B11 0.441 0.000 0.993
B12 0.457 0.500 0.788
B13 0.458 0.000 0.863
B14 0.497 0.000 0.560
B15 0.589 0.000 0.082
B16 0.617 0.000 0.805
B17 0.627 0.000 0.668
B18 0.742 0.000 0.017
B19 0.766 0.000 0.886
B20 0.806 0.000 0.623
B21 0.893 0.500 0.605
B22 0.907 0.000 0.213
B23 0.972 0.500 0.154
B24 0.976 0.000 0.558
# Total magnetic moment ... 0.0 μB/f.u.
# Calculated volume ... 369.7 Å³/f.u.
# DFT total energy ... -7.70 eV per atom

***

> What is the formula in the fourth record?

EuMgB5O10